# 1
VASP calculation (PBE-GGA) on an optimized crystal structure of AsAu2I6.

Space-group type: C2/c (15)
Total moment: 0.00 μB per formula unit
Energy above the lowest structure with this stoichiometry: 9.5 meV/atom

Cell: 8.439 10.335 10.335 Å, 89.58 77.17 77.17°
Fractional positions:
Au (0.752, 0.759, 0.689)
Au (0.748, 0.311, 0.241)
Au (0.252, 0.689, 0.759)
Au (0.248, 0.241, 0.311)
As (0.750, 0.896, 0.104)
As (0.250, 0.104, 0.896)
I (0.547, 0.619, 0.597)
I (0.312, 0.339, 0.908)
I (0.953, 0.403, 0.381)
I (0.453, 0.381, 0.403)
I (0.812, 0.908, 0.339)
I (0.617, 0.998, 0.799)
I (0.117, 0.799, 0.998)
I (0.688, 0.661, 0.092)
I (0.188, 0.092, 0.661)
I (0.047, 0.597, 0.619)
I (0.383, 0.002, 0.201)
I (0.883, 0.201, 0.002)

---

# 2
VASP calculation (PBE-GGA) on an optimized crystal structure of As2AuI8.

Space-group type: C2/m (12)
Total moment: 0.94 μB per formula unit
E_tot: -2.3127 eV per atom

Cell: 9.447 7.897 9.361 Å, 95.55 90.00 126.73°
Last column: magnetic moment on the atom in μB.
Fractional positions:
As (0.144, 0.288, 0.373)  0.00
As (0.856, 0.712, 0.627)  0.00
I (0.880, 0.759, 0.336)  0.00
I (0.648, 0.296, 0.583)  0.01
I (0.352, 0.704, 0.417)  0.01
I (0.910, 0.243, 0.151)  0.11
I (0.090, 0.757, 0.849)  0.11
I (0.333, 0.243, 0.151)  0.11
I (0.667, 0.757, 0.849)  0.11
I (0.120, 0.241, 0.664)  0.00
Au (0.000, 0.000, 0.000)  0.25

---

# 3
VASP calculation (PBE-GGA) on an optimized crystal structure of As3AuI.

Space-group type: Pm-3m (221)
Total moment: 0.00 μB per formula unit
E_tot: -2.9211 eV per atom

Cell: 5.118 5.118 5.118 Å, 90.00 90.00 90.00°
Fractional positions:
Au (0.000, 0.000, 0.000)
As (0.500, 0.000, 0.000)
As (0.000, 0.500, 0.000)
As (0.000, 0.000, 0.500)
I (0.500, 0.500, 0.500)

---

# 4
VASP calculation (PBE-GGA) on an optimized crystal structure of As2Au2I.

Space-group type: I4/mmm (139)
Total moment: 0.00 μB per formula unit
Energy above the lowest structure with this stoichiometry: 42.8 meV/atom

Cell: 4.762 4.762 6.718 Å, 69.24 69.24 90.00°
Fractional positions:
As (0.750, 0.250, 0.500)
As (0.250, 0.750, 0.500)
Au (0.661, 0.661, 0.678)
Au (0.339, 0.339, 0.322)
I (0.000, 0.000, 0.000)

---

# 5
VASP calculation (PBE-GGA) on an optimized crystal structure of As2Au2I.

Space-group type: P4/mbm (127)
Total moment: 0.00 μB per formula unit
Energy above the lowest structure with this stoichiometry: 95.6 meV/atom

Cell: 7.807 7.807 4.088 Å, 90.00 90.00 90.00°
Fractional positions:
As (0.391, 0.109, 0.500)
As (0.609, 0.891, 0.500)
As (0.891, 0.391, 0.500)
As (0.109, 0.609, 0.500)
I (0.000, 0.000, 0.000)
I (0.500, 0.500, 0.000)
Au (0.363, 0.863, 0.000)
Au (0.637, 0.137, 0.000)
Au (0.863, 0.637, 0.000)
Au (0.137, 0.363, 0.000)

---

# 6
VASP calculation (PBE-GGA) on an optimized crystal structure of AsAuI6.

Space-group type: P-1 (2)
Total moment: 0.00 μB per formula unit
E_tot: -2.1879 eV per atom

Cell: 6.261 9.795 8.763 Å, 48.09 67.53 65.57°
Fractional positions:
I (0.367, 0.815, 0.842)
I (0.633, 0.185, 0.158)
I (0.118, 0.357, 0.792)
I (0.882, 0.643, 0.208)
I (0.206, 0.841, 0.353)
I (0.794, 0.159, 0.647)
Au (0.500, 0.500, 0.500)
As (0.000, 0.000, 0.000)

---

# 7
VASP calculation (PBE-GGA) on an optimized crystal structure of AsAuI.

Space-group type: P-1 (2)
Total moment: 0.00 μB per formula unit
Energy above the lowest structure with this stoichiometry: 0.0 meV/atom

Cell: 4.950 5.664 10.666 Å, 103.47 85.11 133.75°
Fractional positions:
Au (0.289, 0.457, 0.329)
Au (0.711, 0.543, 0.671)
As (0.874, 0.713, 0.459)
As (0.126, 0.287, 0.541)
I (0.378, 0.101, 0.829)
I (0.622, 0.899, 0.171)

---

# 8
VASP calculation (PBE-GGA) on an optimized crystal structure of As2AuI6.

Space-group type: C2/c (15)
Total moment: 0.00 μB per formula unit
E_tot: -2.4299 eV per atom

Cell: 10.242 9.956 9.956 Å, 88.36 83.62 83.62°
Fractional positions:
I (0.430, 0.348, 0.400)
I (0.268, 0.051, 0.643)
I (0.070, 0.600, 0.652)
I (0.265, 0.055, 0.211)
I (0.732, 0.949, 0.357)
I (0.235, 0.789, 0.945)
I (0.570, 0.652, 0.600)
I (0.232, 0.357, 0.949)
I (0.735, 0.945, 0.789)
I (0.768, 0.643, 0.051)
I (0.930, 0.400, 0.348)
I (0.765, 0.211, 0.055)
Au (0.750, 0.930, 0.070)
Au (0.250, 0.070, 0.930)
As (0.724, 0.432, 0.215)
As (0.276, 0.568, 0.785)
As (0.776, 0.785, 0.568)
As (0.224, 0.215, 0.432)